No. 1
TeIr: optimized geometry, GGA-PBE.

a b c (Å): 3.3680 3.3680 3.3680
angles (deg): 90.00 90.00 90.00
Sites, in units of the cell vectors:
1 Te 0.0000 0.0000 0.0000
2 Ir 0.5000 0.5000 0.5000

Calculated values
V = 38.2 Å³ per cell
D(E_F) = 2.6 states/eV per cell
formation energy from raw total energies = 0.5279 eV/atom
density = 13.90 g cm⁻³
symmetry = Pm-3m, No. 221

***

No. 2
Nd2ZnCu: optimized geometry, GGA-PBE.

a b c (Å): 10.9088 10.9088 10.9088
angles (deg): 18.46 18.46 18.46
Sites, in units of the cell vectors:
1 Nd 0.0998 0.0998 0.0998
2 Nd 0.9002 0.9002 0.9002
3 Zn 0.0000 0.0000 0.0000
4 Cu 0.5000 0.5000 0.5000

Calculated values
V = 113.7 Å³ per cell
D(E_F) = 3.9 states/eV per cell
energy of formation = 310 meV per atom
density = 6.10 g cm⁻³
symmetry = R-3m, No. 166

***

No. 3
CdNi: optimized geometry, GGA-PBE.

a b c (Å): 3.6771 3.6771 3.6771
angles (deg): 60.00 60.00 60.00
Sites, in units of the cell vectors:
1 Cd 0.0000 0.0000 0.0000
2 Ni 0.5000 0.5000 0.5000

Calculated values
V = 35.2 Å³ per cell
D(E_F) = 1.5 states/eV per cell
energy of formation = 444 meV per atom
density = 8.08 g cm⁻³
symmetry = Fm-3m, No. 225

***

No. 4
Pr12Dy7Zr: optimized geometry, GGA-PBE.

a b c (Å): 11.5435 11.5435 11.5435
angles (deg): 116.81 116.81 116.81
Sites, in units of the cell vectors:
1 Pr 0.0757 0.4281 0.4288
2 Pr 0.0872 0.4987 0.9106
3 Pr 0.0894 0.9128 0.5013
4 Pr 0.4281 0.4288 0.0757
5 Pr 0.4288 0.0757 0.4281
6 Pr 0.4987 0.9106 0.0872
7 Pr 0.5013 0.0894 0.9128
8 Pr 0.5712 0.9243 0.5719
9 Pr 0.5719 0.5712 0.9243
10 Pr 0.9106 0.0872 0.4987
11 Pr 0.9128 0.5013 0.0894
12 Pr 0.9243 0.5719 0.5712
13 Dy 0.1142 0.3558 0.1150
14 Dy 0.1150 0.1142 0.3558
15 Dy 0.3558 0.1150 0.1142
16 Dy 0.5000 0.5000 0.5000
17 Dy 0.6442 0.8850 0.8858
18 Dy 0.8850 0.8858 0.6442
19 Dy 0.8858 0.6442 0.8850
20 Zr 0.0000 0.0000 0.0000

Calculated values
V = 698.5 Å³ per cell
D(E_F) = 30.2 states/eV per cell
energy of formation = 203 meV per atom
density = 6.94 g cm⁻³
symmetry = R-3, No. 148

***

No. 5
Cs3SrTc: optimized geometry, GGA-PBE.

a b c (Å): 6.4258 6.4258 6.4258
angles (deg): 90.00 90.00 90.00
Sites, in units of the cell vectors:
1 Cs 0.0000 0.0000 0.5000
2 Cs 0.0000 0.5000 0.0000
3 Cs 0.5000 0.0000 0.0000
4 Sr 0.5000 0.5000 0.5000
5 Tc 0.0000 0.0000 0.0000

Calculated values
V = 265.3 Å³ per cell
D(E_F) = 8.6 states/eV per cell
energy of formation = 1246 meV per atom
density = 3.66 g cm⁻³
symmetry = Pm-3m, No. 221

***

No. 6
Ac2SmAs3Pt4: optimized geometry, GGA-PBE.

a b c (Å): 4.4399 4.4399 11.4328
angles (deg): 90.00 90.00 90.00
Sites, in units of the cell vectors:
1 Ac 0.0000 0.5000 0.2206
2 Ac 0.5000 0.0000 0.7794
3 Sm 0.0000 0.0000 0.5000
4 As 0.0000 0.5000 0.8797
5 As 0.5000 0.0000 0.1203
6 As 0.5000 0.5000 0.5000
7 Pt 0.0000 0.0000 0.0000
8 Pt 0.0000 0.5000 0.6608
9 Pt 0.5000 0.0000 0.3392
10 Pt 0.5000 0.5000 0.0000

Calculated values
V = 225.4 Å³ per cell
D(E_F) = 3.7 states/eV per cell
energy of formation = -964 meV per atom
density = 11.86 g cm⁻³
symmetry = P-4m2, No. 115

***

No. 7
Li3PrDy2Se6: optimized geometry, GGA-PBE.

a b c (Å): 7.1515 7.1515 6.9331
angles (deg): 99.87 99.87 120.02
Sites, in units of the cell vectors:
1 Li 0.0000 0.0000 0.0000
2 Li 0.3315 0.6685 0.0000
3 Li 0.6685 0.3315 0.0000
4 Pr 0.5000 0.5000 0.5000
5 Dy 0.1666 0.8334 0.5000
6 Dy 0.8334 0.1666 0.5000
7 Se 0.0719 0.4153 0.2451
8 Se 0.2420 0.2420 0.7569
9 Se 0.4153 0.0719 0.2451
10 Se 0.5847 0.9281 0.7549
11 Se 0.7580 0.7580 0.2431
12 Se 0.9281 0.5847 0.7549

Calculated values
V = 288.4 Å³ per cell
D(E_F) = 0.0 states/eV per cell
formation energy from raw total energies = -1.6796 eV/atom
density = 5.53 g cm⁻³
symmetry = C2/m, No. 12

***

No. 8
Ir2PtCl: optimized geometry, GGA-PBE.

a b c (Å): 4.7541 4.7541 2.7632
angles (deg): 90.00 90.00 90.00
Sites, in units of the cell vectors:
1 Ir 0.0000 0.5000 0.0000
2 Ir 0.5000 0.0000 0.0000
3 Pt 0.0000 0.0000 0.5000
4 Cl 0.5000 0.5000 0.5000

Calculated values
V = 62.5 Å³ per cell
D(E_F) = 5.2 states/eV per cell
formation energy from raw total energies = 0.8979 eV/atom
density = 16.35 g cm⁻³
symmetry = P4/mmm, No. 123

***

No. 9
KP2IrO8: optimized geometry, GGA-PBE.

a b c (Å): 8.9667 8.9667 8.9667
angles (deg): 33.61 33.61 33.61
Sites, in units of the cell vectors:
1 K 0.0000 0.0000 0.0000
2 P 0.2345 0.2345 0.2345
3 P 0.7655 0.7655 0.7655
4 Ir 0.5000 0.5000 0.5000
5 O 0.1107 0.6240 0.6240
6 O 0.2937 0.2937 0.2937
7 O 0.3760 0.3760 0.8893
8 O 0.3760 0.8893 0.3760
9 O 0.6240 0.1107 0.6240
10 O 0.6240 0.6240 0.1107
11 O 0.7063 0.7063 0.7063
12 O 0.8893 0.3760 0.3760

Calculated values
V = 196.8 Å³ per cell
D(E_F) = 4.1 states/eV per cell
formation energy from raw total energies = -1.6444 eV/atom
density = 3.56 g cm⁻³
symmetry = R-3m, No. 166

***

No. 10
Nb3Mo: optimized geometry, GGA-PBE.

a b c (Å): 5.6363 5.6363 4.6587
angles (deg): 90.00 90.00 108.82
Sites, in units of the cell vectors:
1 Nb 0.1232 0.8768 0.7500
2 Nb 0.1303 0.3802 0.7500
3 Nb 0.3802 0.1303 0.2500
4 Nb 0.6198 0.8697 0.7500
5 Nb 0.8697 0.6198 0.2500
6 Nb 0.8768 0.1232 0.2500
7 Mo 0.3744 0.6256 0.2500
8 Mo 0.6256 0.3744 0.7500

Calculated values
V = 140.1 Å³ per cell
D(E_F) = 11.2 states/eV per cell
energy of formation = -59 meV per atom
density = 8.88 g cm⁻³
symmetry = Cmcm, No. 63

***

No. 11
Dy2Th2Co3: optimized geometry, GGA-PBE.

a b c (Å): 3.7332 6.7097 6.9525
angles (deg): 79.18 74.60 73.94
Sites, in units of the cell vectors:
1 Dy 0.0621 0.2454 0.1300
2 Dy 0.9379 0.7546 0.8700
3 Th 0.3167 0.2636 0.6040
4 Th 0.6833 0.7364 0.3960
5 Co 0.0000 0.0000 0.5000
6 Co 0.3820 0.5434 0.1921
7 Co 0.6180 0.4566 0.8079

Calculated values
V = 160.1 Å³ per cell
D(E_F) = 5.9 states/eV per cell
energy of formation = -224 meV per atom
density = 10.02 g cm⁻³
symmetry = P-1, No. 2

***

No. 12
Sb2Cl7F3: optimized geometry, GGA-PBE.

a b c (Å): 10.4320 10.4320 13.6927
angles (deg): 130.75 130.75 44.16
Sites, in units of the cell vectors:
1 Sb 0.0452 0.0452 0.2570
2 Sb 0.1724 0.2542 0.1663
3 Sb 0.7458 0.8276 0.8337
4 Sb 0.9548 0.9548 0.7430
5 Cl 0.0955 0.0227 0.7141
6 Cl 0.2269 0.1623 0.4842
7 Cl 0.2442 0.6879 0.8120
8 Cl 0.2717 0.3088 0.0925
9 Cl 0.3121 0.7558 0.1880
10 Cl 0.3294 0.3674 0.4022
11 Cl 0.4680 0.1404 0.8466
12 Cl 0.6326 0.6706 0.5978
13 Cl 0.6574 0.2532 0.7366
14 Cl 0.6912 0.7283 0.9075
15 Cl 0.7468 0.3426 0.2634
16 Cl 0.8377 0.7731 0.5158
17 Cl 0.8596 0.5320 0.1534
18 Cl 0.9773 0.9045 0.2859
19 F 0.0114 0.6176 0.8544
20 F 0.0318 0.1218 0.9598
21 F 0.0732 0.1671 0.1961
22 F 0.3824 0.9886 0.1456
23 F 0.8329 0.9268 0.8039
24 F 0.8782 0.9682 0.0402

Calculated values
V = 736.8 Å³ per cell
D(E_F) = 0.0 states/eV per cell
formation energy from raw total energies = -1.1540 eV/atom
density = 2.47 g cm⁻³
symmetry = C2, No. 5